5
Lattice="-1.977 1.977 4.846 1.977 -1.977 4.846 1.977 1.977 -4.846" Properties=species:S:1:pos:R:3 comment="YNi2GeP, relaxed, DFT PBE" final_energy_ev_per_atom=-6.40 spacegroup="I4mm (107)" pbc="T T T"
Y 0.000 0.000 0.000
Ni 1.977 0.000 2.333
Ni 0.000 1.977 2.333
Ge 0.000 0.000 3.635
P 0.000 0.000 6.074